No. 1
First-principles (PBE) data for a geometry-optimized MnZnCl2 structure, as listed in the Alexandria database.

**N(E_F)**: 2.08 states/eV/cell
**Raw formation energy**: -100 meV/atom
**Energy above the most stable polymorph in this dataset**: 1.920 eV per formula unit
**Total DFT energy (no corrections)**: -3.63 eV per atom
**Symmetry**: Pmmm, No. 47

abc: 3.374 5.986 4.001
angles: 90.00 90.00 90.00
Element x y z (fractional)
1 Cl 0.500 0.500 0.000
2 Zn 0.000 0.500 0.500
3 Mn 0.500 0.000 0.500
4 Cl 0.000 0.000 0.000

No. 2
First-principles (PBE) data for a geometry-optimized MnZnCl2 structure, as listed in the Alexandria database.

**N(E_F)**: 1.24 states/eV/cell
**Raw formation energy**: -54 meV/atom
**Energy above the most stable polymorph in this dataset**: 2.104 eV per formula unit
**Total DFT energy (no corrections)**: -3.59 eV per atom
**Symmetry**: Fm-3m, No. 225

abc: 4.818 4.818 4.818
angles: 60.00 60.00 60.00
Element x y z (fractional)
1 Mn 0.000 0.000 0.000
2 Cl 0.250 0.250 0.250
3 Zn 0.500 0.500 0.500
4 Cl 0.750 0.750 0.750

No. 3
First-principles (PBE) data for a geometry-optimized MnZn2Cl structure, as listed in the Alexandria database.

**N(E_F)**: 2.15 states/eV/cell
**Raw formation energy**: 37 meV/atom
**Energy above the most stable polymorph in this dataset**: 0.445 eV per formula unit
**Total DFT energy (no corrections)**: -3.35 eV per atom
**Symmetry**: P4/mmm, No. 123

abc: 3.034 3.034 7.205
angles: 90.00 90.00 90.00
Element x y z (fractional)
1 Cl 0.500 0.500 0.250
2 Zn 0.000 0.000 0.970
3 Mn 0.500 0.500 0.750
4 Zn 0.000 0.000 0.530

No. 4
First-principles (PBE) data for a geometry-optimized MnZn2Cl structure, as listed in the Alexandria database.

**N(E_F)**: 1.81 states/eV/cell
**Raw formation energy**: 148 meV/atom
**Energy above the most stable polymorph in this dataset**: 0.890 eV per formula unit
**Total DFT energy (no corrections)**: -3.24 eV per atom
**Symmetry**: I4/mmm, No. 139

abc: 5.990 5.990 5.990
angles: 144.41 144.41 51.22
Element x y z (fractional)
1 Zn 0.000 0.000 0.000
2 Mn 0.750 0.250 0.500
3 Cl 0.250 0.750 0.500
4 Zn 0.500 0.500 0.000

No. 5
First-principles (PBE) data for a geometry-optimized Mn2ZnCl structure, as listed in the Alexandria database.

**N(E_F)**: 3.01 states/eV/cell
**Raw formation energy**: 165 meV/atom
**Energy above the most stable polymorph in this dataset**: 0.685 eV per formula unit
**Total DFT energy (no corrections)**: -5.20 eV per atom
**Symmetry**: P4/mmm, No. 123

abc: 2.985 2.985 7.238
angles: 90.00 90.00 90.00
Element x y z (fractional)
1 Mn 0.000 0.000 0.483
2 Zn 0.500 0.500 0.250
3 Cl 0.500 0.500 0.750
4 Mn 0.000 0.000 0.017

No. 6
First-principles (PBE) data for a geometry-optimized MnZnCl6 structure, as listed in the Alexandria database.

**Raw formation energy**: -896 meV/atom
**Energy above the most stable polymorph in this dataset**: 0.000 eV per formula unit
**Total DFT energy (no corrections)**: -3.59 eV per atom
**Symmetry**: C2/m, No. 12

abc: 6.724 6.724 6.021
angles: 91.03 91.03 120.83
Element x y z (fractional)
1 Cl 0.275 0.003 0.279
2 Cl 0.278 0.278 0.738
3 Cl 0.725 0.997 0.721
4 Cl 0.722 0.722 0.262
5 Zn 0.000 0.000 0.000
6 Cl 0.003 0.275 0.279
7 Cl 0.997 0.725 0.721
8 Mn 0.000 0.000 0.500

No. 7
First-principles (PBE) data for a geometry-optimized MnZnCl2 structure, as listed in the Alexandria database.

**N(E_F)**: 2.93 states/eV/cell
**Raw formation energy**: -74 meV/atom
**Energy above the most stable polymorph in this dataset**: 2.025 eV per formula unit
**Total DFT energy (no corrections)**: -3.61 eV per atom
**Symmetry**: I-4m2, No. 119

abc: 6.554 6.554 6.554
angles: 146.91 146.91 47.49
Element x y z (fractional)
1 Mn 0.500 0.500 0.000
2 Zn 0.750 0.250 0.500
3 Cl 0.250 0.750 0.500
4 Cl 0.000 0.000 0.000

No. 8
First-principles (PBE) data for a geometry-optimized MnZnCl2 structure, as listed in the Alexandria database.

**N(E_F)**: 1.51 states/eV/cell
**Raw formation energy**: -447 meV/atom
**Energy above the most stable polymorph in this dataset**: 0.533 eV per formula unit
**Total DFT energy (no corrections)**: -3.98 eV per atom
**Symmetry**: Cmm2, No. 35

abc: 3.510 3.510 8.996
angles: 90.00 90.00 121.30
Element x y z (fractional)
1 Mn 0.000 0.000 0.513
2 Zn 0.500 0.500 0.740
3 Cl 0.500 0.500 0.331
4 Cl 0.000 0.000 0.916

No. 9
First-principles (PBE) data for a geometry-optimized Mn2ZnCl structure, as listed in the Alexandria database.

**N(E_F)**: 2.81 states/eV/cell
**Raw formation energy**: 321 meV/atom
**Energy above the most stable polymorph in this dataset**: 1.311 eV per formula unit
**Total DFT energy (no corrections)**: -5.04 eV per atom
**Symmetry**: P4/mmm, No. 123

abc: 2.914 4.737 4.737
angles: 90.00 90.00 90.00
Element x y z (fractional)
1 Mn 0.000 0.500 0.500
2 Zn 0.500 0.500 0.000
3 Mn 0.000 0.000 0.000
4 Cl 0.500 0.000 0.500

No. 10
First-principles (PBE) data for a geometry-optimized Mn2ZnCl structure, as listed in the Alexandria database.

**N(E_F)**: 2.43 states/eV/cell
**Raw formation energy**: 296 meV/atom
**Energy above the most stable polymorph in this dataset**: 1.211 eV per formula unit
**Total DFT energy (no corrections)**: -5.07 eV per atom
**Symmetry**: Cmmm, No. 65

abc: 4.765 4.765 2.967
angles: 90.00 90.00 105.96
Element x y z (fractional)
1 Mn 0.000 0.000 0.000
2 Zn 0.500 0.000 0.500
3 Cl 0.000 0.500 0.500
4 Mn 0.500 0.500 0.000

No. 11
First-principles (PBE) data for a geometry-optimized MnZn2Cl structure, as listed in the Alexandria database.

**N(E_F)**: 4.48 states/eV/cell
**Raw formation energy**: 165 meV/atom
**Energy above the most stable polymorph in this dataset**: 0.959 eV per formula unit
**Total DFT energy (no corrections)**: -3.23 eV per atom
**Symmetry**: I-42d, No. 122

abc: 7.796 7.796 6.078
angles: 50.11 50.11 90.00
Element x y z (fractional)
1 Cl 0.500 0.500 0.000
2 Zn 0.642 0.125 0.250
3 Zn 0.875 0.892 0.750
4 Mn 0.750 0.250 0.500
5 Zn 0.108 0.625 0.250
6 Cl 0.250 0.750 0.500
7 Zn 0.375 0.358 0.750
8 Mn 0.000 0.000 0.000

No. 12
First-principles (PBE) data for a geometry-optimized MnZnCl2 structure, as listed in the Alexandria database.

**N(E_F)**: 0.31 states/eV/cell
**Raw formation energy**: -433 meV/atom
**Energy above the most stable polymorph in this dataset**: 0.588 eV per formula unit
**Total DFT energy (no corrections)**: -3.97 eV per atom
**Symmetry**: P2/m, No. 10

abc: 3.473 4.388 8.455
angles: 77.27 90.00 90.00
Element x y z (fractional)
1 Cl 0.000 0.398 0.418
2 Mn 0.500 0.250 0.250
3 Zn 0.500 0.750 0.750
4 Cl 0.000 0.102 0.082

No. 13
First-principles (PBE) data for a geometry-optimized MnZn2Cl structure, as listed in the Alexandria database.

**N(E_F)**: 2.56 states/eV/cell
**Raw formation energy**: 54 meV/atom
**Energy above the most stable polymorph in this dataset**: 0.515 eV per formula unit
**Total DFT energy (no corrections)**: -3.34 eV per atom
**Symmetry**: Cmmm, No. 65

abc: 3.025 3.025 7.927
angles: 90.00 90.00 111.21
Element x y z (fractional)
1 Mn 0.500 0.500 0.750
2 Zn 0.000 0.000 0.508
3 Zn 0.000 0.000 0.992
4 Cl 0.500 0.500 0.250

No. 14
First-principles (PBE) data for a geometry-optimized Mn2ZnCl structure, as listed in the Alexandria database.

**N(E_F)**: 3.02 states/eV/cell
**Raw formation energy**: 152 meV/atom
**Energy above the most stable polymorph in this dataset**: 0.635 eV per formula unit
**Total DFT energy (no corrections)**: -5.21 eV per atom
**Symmetry**: Imm2, No. 44

abc: 6.399 6.399 6.399
angles: 153.20 143.05 46.23
Element x y z (fractional)
1 Cl 0.801 0.301 0.500
2 Mn 0.984 0.984 0.000
3 Mn 0.180 0.680 0.500
4 Zn 0.535 0.535 0.000

No. 15
First-principles (PBE) data for a geometry-optimized MnZn2Cl structure, as listed in the Alexandria database.

**N(E_F)**: 1.45 states/eV/cell
**Raw formation energy**: -62 meV/atom
**Energy above the most stable polymorph in this dataset**: 0.049 eV per formula unit
**Total DFT energy (no corrections)**: -3.45 eV per atom
**Symmetry**: R3m, No. 160

abc: 8.200 8.200 8.200
angles: 23.13 23.13 23.13
Element x y z (fractional)
1 Cl 0.483 0.483 0.483
2 Mn 0.749 0.749 0.749
3 Zn 0.264 0.264 0.264
4 Zn 0.004 0.004 0.004